No. 1
This record from the Alexandria database describes BeInAs2 after structural relaxation. The functional is PBE.

It has space group P2/m (No. 10), with a = 4.452 Å, b = 3.640 Å, c = 5.191 Å, α = 90.00°, β = 108.00° and γ = 90.00°. The distinct sites, in fractional coordinates, are Be at (0.000, 0.000, 0.000), In at (0.500, 0.000, 0.500) and As at (0.222, 0.500, 0.838).

The formation energy comes out at 0.128 eV/atom.

***

No. 2
This record from the Alexandria database describes CuOs2F after structural relaxation. The functional is PBE.

It has space group I-42d (No. 122), with a = 6.960 Å, b = 6.960 Å, c = 4.596 Å, α = 90.00°, β = 90.00° and γ = 90.00°. The distinct sites, in fractional coordinates, are Cu at (0.000, 0.000, 0.000), Os at (0.189, 0.250, 0.625) and F at (0.000, 0.000, 0.500).

Its energy above the most stable polymorph in this dataset is 8 meV per atom. As for the raw formation energy: 0.93 eV/atom.

***

No. 3
This record from the Alexandria database describes CsNbCu2I8 after structural relaxation. The functional is PBE.

It has space group C2/m (No. 12), with a = 11.806 Å, b = 7.877 Å, c = 11.078 Å, α = 90.00°, β = 99.09° and γ = 90.00°. The distinct sites, in fractional coordinates, are Cs at (0.000, 0.000, 0.000), Nb at (0.000, 0.000, 0.500), Cu at (0.122, 0.500, 0.301), I at (0.029, 0.248, 0.682), I at (0.181, 0.500, 0.094) and I at (0.236, 0.000, 0.497).

As for the raw formation energy: -0.49 eV/atom.

***

No. 4
This record from the Alexandria database describes P2HSe after structural relaxation. The functional is PBE.

It has space group I-42d (No. 122), with a = 5.026 Å, b = 5.026 Å, c = 9.956 Å, α = 90.00°, β = 90.00° and γ = 90.00°. The distinct sites, in fractional coordinates, are P at (0.135, 0.250, 0.125), H at (0.000, 0.000, 0.000) and Se at (0.000, 0.000, 0.500).

Its energy above the most stable polymorph in this dataset is 726 meV per atom.

***

| no. | E (eV/cell) |
| --- | --- |
| 1 | -15.250 |
| 2 | -98.867 |
| 3 | -74.831 |
| 4 | -59.082 |